A plane-wave DFT calculation with PBE with a Hubbard U was carried out for ZnNi3O6 after structural relaxation.

Lattice parameters (Å, degrees): 4.764 5.379 5.379 59.16 65.54 65.54
Sites, in units of the cell vectors:
Zn: 0.500 0.500 0.500
Ni: 0.359 0.240 0.240
Ni: 0.641 0.760 0.760
Ni: 0.000 0.000 0.000
O: 0.321 0.157 0.665
O: 0.679 0.335 0.843
O: 0.679 0.843 0.335
O: 0.321 0.665 0.157
O: 0.012 0.792 0.792
O: 0.988 0.208 0.208

Summary:
total energy: -4.448 eV/atom
crystal system: monoclinic